Entry P
# GGA-PBE PmErSiPd, optimized geometry
data_PmErSiPd
_chemical_formula_sum 'Pm2 Er2 Si2 Pd2'
_symmetry_space_group_name_H-M 'A m m 2'
_symmetry_Int_Tables_number 38
_symmetry_space_group_name_Hall 'A 2 -2'
_cell_length_a 4.231
_cell_length_b 3.999
_cell_length_c 10.952
_cell_angle_alpha 90.00
_cell_angle_beta 90.00
_cell_angle_gamma 90.00
loop_
_atom_site_label
_atom_site_fract_x
_atom_site_fract_y
_atom_site_fract_z
Pm1 0.000 0.000 0.000
Er1 0.500 0.000 0.279
Si1 0.000 0.000 0.724
Pd1 0.500 0.000 0.573
# Calculated volume = 23.2 Å³/atom
# DOS at the Fermi energy = 2.5 states/eV/f.u.

Entry Q
# GGA-PBE PmErSiPd, optimized geometry
data_PmErSiPd
_chemical_formula_sum 'Pm4 Er4 Si4 Pd4'
_symmetry_space_group_name_H-M 'F -4 3 m'
_symmetry_Int_Tables_number 216
_symmetry_space_group_name_Hall 'F -4 2 3'
_cell_length_a 7.111
_cell_length_b 7.111
_cell_length_c 7.111
_cell_angle_alpha 90.00
_cell_angle_beta 90.00
_cell_angle_gamma 90.00
loop_
_atom_site_label
_atom_site_fract_x
_atom_site_fract_y
_atom_site_fract_z
Pm1 0.000 0.000 0.000
Er1 0.000 0.000 0.500
Si1 0.250 0.250 0.750
Pd1 0.250 0.250 0.250
# Calculated volume = 22.5 Å³/atom
# DOS at the Fermi energy = 2.3 states/eV/f.u.

Which one is most stable, and which one is least stable? entry P is the most stable of them, while entry Q is the least stable.

Entry P
# GGA-PBE Pr2ErPd2, optimized geometry
data_Pr2ErPd2
_chemical_formula_sum 'Pr4 Er2 Pd4'
_symmetry_space_group_name_H-M 'P 4/m b m'
_symmetry_Int_Tables_number 127
_symmetry_space_group_name_Hall '-P 4 2ab'
_cell_length_a 7.931
_cell_length_b 7.931
_cell_length_c 4.121
_cell_angle_alpha 90.00
_cell_angle_beta 90.00
_cell_angle_gamma 90.00
loop_
_atom_site_label
_atom_site_fract_x
_atom_site_fract_y
_atom_site_fract_z
Pr1 0.169 0.331 0.000
Er1 0.000 0.000 0.500
Pd1 0.130 0.630 0.500
# Calculated volume = 25.9 Å³/atom
# DOS at the Fermi energy = 4.9 states/eV/f.u.

Entry Q
# GGA-PBE Pr2ErPd2, optimized geometry
data_Pr2ErPd2
_chemical_formula_sum 'Pr8 Er4 Pd8'
_symmetry_space_group_name_H-M 'C 1 2/m 1'
_symmetry_Int_Tables_number 12
_symmetry_space_group_name_Hall '-C 2y'
_cell_length_a 13.110
_cell_length_b 4.013
_cell_length_c 11.501
_cell_angle_alpha 90.00
_cell_angle_beta 119.05
_cell_angle_gamma 90.00
loop_
_atom_site_label
_atom_site_fract_x
_atom_site_fract_y
_atom_site_fract_z
Pr1 0.045 0.000 0.196
Pr2 0.170 0.000 0.578
Er1 0.205 0.500 0.859
Pd1 0.012 0.500 0.380
Pd2 0.124 0.500 0.053
# Calculated volume = 26.4 Å³/atom
# DOS at the Fermi energy = 3.9 states/eV/f.u.

Which one is most stable, and which one is least stable? entry Q is the most stable of them, while entry P is the least stable.